No. 1
{
  "formula": "LaZr2Au2",
  "functional": "PBE",
  "state": "optimized geometry",
  "ef_ev_per_atom": -0.390,
  "e_above_lowest_polymorph_ev_per_fu": 0.00,
  "sg": "I4/mmm (139)",
  "n_ef_per_ev_atom": 1.81,
  "cell": [[4.1712, 0.0000, 0.0000], [0.0000, 4.1712, 0.0000], [2.0856, 2.0856, 7.0285]],
  "species": ["Au", "Au", "Zr", "Zr", "La"],
  "frac_coords": [[0.3990, 0.3990, 0.2020], [0.6010, 0.6010, 0.7980], [0.7500, 0.2500, 0.5000], [0.2500, 0.7500, 0.5000], [0.0000, 0.0000, 0.0000]]
}

No. 2
{
  "formula": "LaZrAu",
  "functional": "PBE",
  "state": "optimized geometry",
  "ef_ev_per_atom": -0.031,
  "sg": "F-43m (216)",
  "n_ef_per_ev_atom": 1.44,
  "cell": [[4.9804, 0.0000, 0.0000], [2.4902, 4.3131, 0.0000], [2.4902, 1.4377, 4.0664]],
  "species": ["Au", "La", "Zr"],
  "frac_coords": [[0.7500, 0.7500, 0.7500], [0.0000, 0.0000, 0.0000], [0.5000, 0.5000, 0.5000]]
}

No. 3
{
  "formula": "LaZrAu2",
  "functional": "PBE",
  "state": "optimized geometry",
  "ef_ev_per_atom": -0.408,
  "sg": "Cm (8)",
  "n_ef_per_ev_atom": 1.00,
  "cell": [[-0.2439, -4.2963, 3.5675], [2.6841, -2.3799, 4.2868], [-2.3117, 1.9571, 4.1959]],
  "species": ["Au", "Au", "La", "Zr"],
  "frac_coords": [[0.9956, 0.9956, 0.9612], [0.2646, 0.2646, 0.2534], [0.5066, 0.5066, 0.4637], [0.7331, 0.7331, 0.8218]]
}

No. 4
{
  "formula": "LaZrAu",
  "functional": "PBE",
  "state": "optimized geometry",
  "ef_ev_per_atom": -0.131,
  "sg": "P4/nmm (129)",
  "n_ef_per_ev_atom": 0.81,
  "cell": [[4.3556, 0.0000, 0.0000], [0.0000, 4.3556, 0.0000], [0.0000, 0.0000, 7.9467]],
  "species": ["Au", "Au", "Zr", "Zr", "La", "La"],
  "frac_coords": [[0.0000, 0.5000, 0.7953], [0.5000, 0.0000, 0.2047], [0.0000, 0.5000, 0.1264], [0.5000, 0.0000, 0.8736], [0.0000, 0.0000, 0.5000], [0.5000, 0.5000, 0.5000]]
}